A relaxed Ac2SiGe4Pt3 crystal. Source: Alexandria, functional GGA-PBE.

The structure belongs to space group P-4m2 (No. 115); the cell edges are 4.510, 4.510 and 10.183 Å and the angles 90.00°, 90.00° and 90.00°. The asymmetric unit holds Ac at (0.000, 0.500, 0.249), Si at (0.000, 0.000, 0.500), Ge at (0.000, 0.000, 0.000), Ge at (0.000, 0.500, 0.629), Ge at (0.500, 0.500, 0.000), Pt at (0.000, 0.500, 0.877) and Pt at (0.500, 0.500, 0.500).

For the uncorrected formation energy, the calculation gives -825 meV per atom. The total energy is -5.85 eV per atom.

---

A relaxed ZrCrCl2 crystal. Source: Alexandria, functional GGA-PBE.

The structure belongs to space group Cm (No. 8); the cell edges are 11.111, 3.223 and 7.138 Å and the angles 90.00°, 123.50° and 90.00°. The asymmetric unit holds Zr at (0.000, 0.000, 0.000), Cr at (0.248, 0.500, 0.116), Cl at (0.360, 0.000, 0.669) and Cl at (0.481, 0.000, 0.271).

For the uncorrected formation energy, the calculation gives -463 meV per atom. The total energy is -5.93 eV per atom.

---

A relaxed MgMn2BeTl crystal. Source: Alexandria, functional GGA-PBE.

The structure belongs to space group P4/mmm (No. 123); the cell edges are 4.905, 4.905 and 4.381 Å and the angles 90.00°, 90.00° and 90.00°. The asymmetric unit holds Mg at (0.000, 0.000, 0.000), Mn at (0.000, 0.500, 0.500), Be at (0.500, 0.500, 0.000) and Tl at (0.500, 0.500, 0.500).

The formation enthalpy at 0 K comes out at 1.805 eV per atom. The total energy is -3.40 eV per atom.

---

A relaxed CuTeAs2 crystal. Source: Alexandria, functional GGA-PBE.

The structure belongs to space group Cmm2 (No. 35); the cell edges are 3.639, 5.209 and 9.006 Å and the angles 90.00°, 90.00° and 90.00°. The asymmetric unit holds Cu at (0.000, 0.000, 0.000), Te at (0.000, 0.500, 0.221), As at (0.000, 0.000, 0.582) and As at (0.000, 0.500, 0.792).

For the uncorrected formation energy, the calculation gives 371 meV per atom. The total energy is -3.76 eV per atom.

---

A relaxed Tb3Si8Pd3 crystal. Source: Alexandria, functional GGA-PBE.

The structure belongs to space group Immm (No. 71); the cell edges are 4.268, 9.660 and 11.684 Å and the angles 90.00°, 90.00° and 90.00°. The asymmetric unit holds Tb at (0.000, 0.000, 0.000), Tb at (0.000, 0.000, 0.308), Si at (0.000, 0.289, 0.132), Si at (0.000, 0.374, 0.332), Pd at (0.000, 0.232, 0.500) and Pd at (0.000, 0.500, 0.000).

For the uncorrected formation energy, the calculation gives -502 meV per atom. The total energy is -5.71 eV per atom.

---

A relaxed KCr2SnCl8 crystal. Source: Alexandria, functional GGA-PBE.

The structure belongs to space group I-4m2 (No. 119); the cell edges are 9.407, 9.407 and 8.347 Å and the angles 90.00°, 90.00° and 90.00°. The asymmetric unit holds K at (0.000, 0.000, 0.000), Cr at (0.000, 0.000, 0.500), Cr at (0.000, 0.500, 0.250), Sn at (0.000, 0.500, 0.750), Cl at (0.000, 0.189, 0.675) and Cl at (0.000, 0.331, 0.059).

For the uncorrected formation energy, the calculation gives -1058 meV per atom. The total energy is -4.32 eV per atom.

---

A relaxed MnSbPb2 crystal. Source: Alexandria, functional GGA-PBE.

The structure belongs to space group Pm (No. 6); the cell edges are 3.506, 3.462 and 8.476 Å and the angles 90.00°, 90.42° and 90.00°. The asymmetric unit holds Mn at (0.000, 0.000, 0.000), Sb at (0.503, 0.500, 0.153), Pb at (0.001, 0.000, 0.452) and Pb at (0.501, 0.500, 0.763).

For the uncorrected formation energy, the calculation gives 182 meV per atom. The total energy is -5.00 eV per atom.

---

A relaxed Be2ReP crystal. Source: Alexandria, functional GGA-PBE.

The structure belongs to space group Fm-3m (No. 225); the cell edges are 5.574, 5.574 and 5.574 Å and the angles 90.00°, 90.00° and 90.00°. The asymmetric unit holds Be at (0.250, 0.250, 0.250), Re at (0.000, 0.000, 0.000) and P at (0.000, 0.000, 0.500).

The formation enthalpy at 0 K comes out at 0.536 eV per atom. The total energy is -5.79 eV per atom.

---

A relaxed NbGeTeI2 crystal. Source: Alexandria, functional GGA-PBE.

The structure belongs to space group P4/mmm (No. 123); the cell edges are 5.561, 5.561 and 5.557 Å and the angles 90.00°, 90.00° and 90.00°. The asymmetric unit holds Nb at (0.000, 0.000, 0.000), Ge at (0.500, 0.500, 0.500), Te at (0.500, 0.500, 0.000) and I at (0.000, 0.500, 0.500).

For the uncorrected formation energy, the calculation gives 856 meV per atom. The total energy is -3.33 eV per atom.

---

A relaxed TaMn2Re crystal. Source: Alexandria, functional GGA-PBE.

The structure belongs to space group Immm (No. 71); the cell edges are 3.138, 4.341 and 8.308 Å and the angles 90.00°, 90.00° and 90.00°. The asymmetric unit holds Ta at (0.000, 0.000, 0.000), Mn at (0.000, 0.500, 0.246) and Re at (0.000, 0.000, 0.500).

The formation enthalpy at 0 K comes out at -0.002 eV per atom. The total energy is -10.66 eV per atom.

---

A relaxed Rb2SiSnF6 crystal. Source: Alexandria, functional GGA-PBE.

The structure belongs to space group Fm-3m (No. 225); the cell edges are 9.115, 9.115 and 9.115 Å and the angles 90.00°, 90.00° and 90.00°. The asymmetric unit holds Rb at (0.250, 0.250, 0.250), Si at (0.000, 0.000, 0.000), Sn at (0.000, 0.000, 0.500) and F at (0.000, 0.000, 0.237).

For the uncorrected formation energy, the calculation gives -2329 meV per atom. The total energy is -4.59 eV per atom.

---

A relaxed NaTe3W crystal. Source: Alexandria, functional GGA-PBE.

The structure belongs to space group Pm-3m (No. 221); the cell edges are 5.408, 5.408 and 5.408 Å and the angles 90.00°, 90.00° and 90.00°. The asymmetric unit holds Na at (0.000, 0.000, 0.000), Te at (0.000, 0.500, 0.500) and W at (0.500, 0.500, 0.500).

For the uncorrected formation energy, the calculation gives 233 meV per atom. The total energy is -4.51 eV per atom.